DFT (PBE) results for MgZnCl after structural relaxation.

Cell: 3.5563 3.5563 6.5307 Å, 90.00 90.00 120.00°
Atoms (fractional coordinates):
Mg (0.0000, 0.0000, 0.0000)
Zn (0.6667, 0.3333, 0.2891)
Cl (0.3333, 0.6667, 0.7733)

Summary:
Magnetic moment, μB per cell: 0.00
E, eV per cell: -6.34

---

DFT (PBE) results for Co2PWI after structural relaxation.

Cell: 4.2793 4.2793 4.6414 Å, 90.00 90.00 90.00°
Atoms (fractional coordinates):
Co (0.0000, 0.5000, 0.0000)
Co (0.5000, 0.0000, 0.0000)
P (0.0000, 0.0000, 0.0000)
W (0.0000, 0.0000, 0.5000)
I (0.5000, 0.5000, 0.5000)

Summary:
Magnetic moment, μB per cell: 2.38
E, eV per cell: -30.05

---

DFT (PBE) results for KLaTl4 after structural relaxation.

Cell: 6.4522 6.4522 6.4522 Å, 60.00 60.00 60.00°
Atoms (fractional coordinates):
K (0.0000, 0.0000, 0.0000)
La (0.7500, 0.7500, 0.7500)
Tl (0.3754, 0.3754, 0.3754)
Tl (0.3754, 0.3754, 0.8739)
Tl (0.3754, 0.8739, 0.3754)
Tl (0.8739, 0.3754, 0.3754)

Summary:
Magnetic moment, μB per cell: 0.00
Energy of formation from the pure elements, eV/f.u.: -0.50

---

DFT (PBE) results for Mo7C after structural relaxation.

Cell: 5.5350 5.5350 5.5350 Å, 60.00 60.00 60.00°
Atoms (fractional coordinates):
Mo (0.0000, 0.0000, 0.0000)
Mo (0.0000, 0.0000, 0.5000)
Mo (0.0000, 0.5000, 0.0000)
Mo (0.0000, 0.5000, 0.5000)
Mo (0.5000, 0.0000, 0.0000)
Mo (0.5000, 0.0000, 0.5000)
Mo (0.5000, 0.5000, 0.0000)
C (0.5000, 0.5000, 0.5000)

Summary:
Magnetic moment, μB per cell: 0.00
Energy of formation from the pure elements, eV/f.u.: 6.50

---

DFT (PBE) results for TbY6Tm5 after structural relaxation.

Cell: 5.0002 9.9865 7.9141 Å, 90.00 108.36 90.00°
Atoms (fractional coordinates):
Tb (0.0000, 0.0000, 0.0000)
Y (0.1668, 0.2507, 0.3335)
Y (0.1668, 0.7493, 0.3335)
Y (0.5000, 0.2508, 0.0000)
Y (0.5000, 0.7492, 0.0000)
Y (0.8332, 0.2507, 0.6665)
Y (0.8332, 0.7493, 0.6665)
Tm (0.0000, 0.5000, 0.0000)
Tm (0.3329, 0.0000, 0.6657)
Tm (0.3333, 0.5000, 0.6666)
Tm (0.6671, 0.0000, 0.3343)
Tm (0.6667, 0.5000, 0.3334)

Summary:
Magnetic moment, μB per cell: 0.00
Energy of formation from the pure elements, eV/f.u.: 0.33

---

DFT (PBE) results for ScZnF2 after structural relaxation.

Cell: 3.0316 3.0316 26.7186 Å, 90.00 90.00 120.00°
Atoms (fractional coordinates):
Sc (0.0000, 0.0000, 0.0000)
Sc (0.3333, 0.6667, 0.6667)
Sc (0.6667, 0.3333, 0.3333)
Zn (0.0000, 0.0000, 0.5000)
Zn (0.3333, 0.6667, 0.1667)
Zn (0.6667, 0.3333, 0.8333)
F (0.0000, 0.0000, 0.3812)
F (0.0000, 0.0000, 0.6188)
F (0.3333, 0.6667, 0.0479)
F (0.3333, 0.6667, 0.2854)
F (0.6667, 0.3333, 0.7146)
F (0.6667, 0.3333, 0.9521)

Summary:
Magnetic moment, μB per cell: 0.00
E, eV per cell: -60.17

---

DFT (PBE) results for ZrTl2Fe after structural relaxation.

Cell: 6.9923 6.9923 6.9923 Å, 90.00 90.00 90.00°
Atoms (fractional coordinates):
Zr (0.0000, 0.0000, 0.0000)
Zr (0.0000, 0.5000, 0.5000)
Zr (0.5000, 0.0000, 0.5000)
Zr (0.5000, 0.5000, 0.0000)
Tl (0.0000, 0.0000, 0.5000)
Tl (0.0000, 0.5000, 0.0000)
Tl (0.2500, 0.2500, 0.2500)
Tl (0.2500, 0.7500, 0.7500)
Tl (0.5000, 0.0000, 0.0000)
Tl (0.5000, 0.5000, 0.5000)
Tl (0.7500, 0.2500, 0.7500)
Tl (0.7500, 0.7500, 0.2500)
Fe (0.2500, 0.2500, 0.7500)
Fe (0.2500, 0.7500, 0.2500)
Fe (0.7500, 0.2500, 0.2500)
Fe (0.7500, 0.7500, 0.7500)

Summary:
Magnetic moment, μB per cell: 6.41
Energy of formation from the pure elements, eV/f.u.: 1.92

---

DFT (PBE) results for PuTcRu after structural relaxation.

Cell: 14.0417 2.9210 4.7849 Å, 90.00 90.00 90.00°
Atoms (fractional coordinates):
Pu (0.1729, 0.0000, 0.0000)
Pu (0.1729, 0.5000, 0.5000)
Pu (0.8271, 0.0000, 0.0000)
Pu (0.8271, 0.5000, 0.5000)
Tc (0.0000, 0.0000, 0.5019)
Tc (0.0000, 0.5000, 0.0019)
Tc (0.5000, 0.0000, 0.1605)
Tc (0.5000, 0.5000, 0.6605)
Ru (0.3517, 0.0000, 0.5017)
Ru (0.3517, 0.5000, 0.0017)
Ru (0.6483, 0.0000, 0.5017)
Ru (0.6483, 0.5000, 0.0017)

Summary:
Magnetic moment, μB per cell: 14.86
Energy of formation from the pure elements, eV/f.u.: 0.57